1.
A plane-wave DFT calculation with GGA-PBE was carried out for a geometry-optimized Pm2MgPdO5 structure.

```
Pm2MgPdO5
1.0
5.7853 0.0000 0.0000
0.0000 6.6405 0.0000
0.0000 0.0000 6.6405
Pm O Pd Mg
4 10 2 2
Direct
0.5000 0.6712 0.1712
0.5000 0.3288 0.8288
0.5000 0.8288 0.6712
0.5000 0.1712 0.3288
0.7547 0.3520 0.1480
0.7547 0.1480 0.6480
0.2453 0.6480 0.8520
0.2453 0.8520 0.3520
0.7547 0.6480 0.8520
0.5000 0.5000 0.5000
0.2453 0.1480 0.6480
0.5000 0.0000 0.0000
0.7547 0.8520 0.3520
0.2453 0.3520 0.1480
0.0000 0.0000 0.5000
0.0000 0.5000 0.0000
0.0000 0.5000 0.5000
0.0000 0.0000 0.0000
```

Uncorrected energy = -6.751 eV/atom
Formation energy from raw total energies = -2.187 eV/atom


2.
A plane-wave DFT calculation with GGA-PBE was carried out for a geometry-optimized Pr5Th3Te8 structure.

```
Pr5Th3Te8
1.0
2.1304 8.6035 1.3047
-3.4379 4.4590 6.9685
5.3583 2.2852 6.9401
Th Pr Te
3 5 8
Direct
0.0000 0.0000 0.5000
0.0000 0.5000 0.5000
0.5000 0.0000 0.5000
0.5000 0.5000 0.5000
0.0000 0.0000 0.0000
0.5000 0.5000 0.0000
0.0000 0.5000 0.0000
0.5000 0.0000 0.0000
0.2496 0.2496 0.2513
0.7504 0.7504 0.7487
0.7501 0.7501 0.2514
0.2499 0.7516 0.7486
0.7501 0.2484 0.2514
0.2484 0.7501 0.2514
0.2499 0.2499 0.7486
0.7516 0.2499 0.7486
```

Uncorrected energy = -5.729 eV/atom
Formation energy from raw total energies = -1.273 eV/atom


3.
A plane-wave DFT calculation with GGA-PBE was carried out for a geometry-optimized SbIrS structure.

```
SbIrS
1.0
-5.2971 -1.5961 -2.5753
3.1254 -2.5967 -4.8193
-0.5691 -4.7395 4.1079
S Ir Sb
4 4 4
Direct
0.3765 0.1462 0.3583
0.6235 0.8538 0.6417
0.1235 0.6462 0.3583
0.8765 0.3538 0.6417
0.0130 0.2579 0.2671
0.4870 0.7579 0.2671
0.5130 0.2421 0.7329
0.9870 0.7421 0.7329
0.1245 0.1456 0.8516
0.6245 0.3544 0.1484
0.8755 0.8544 0.1484
0.3755 0.6456 0.8516
```

Uncorrected energy = -6.155 eV/atom
Energy above the most stable polymorph in this dataset = 2.4 kJ per mole of atoms
Formation energy from raw total energies = -0.451 eV/atom


4.
A plane-wave DFT calculation with GGA-PBE was carried out for a geometry-optimized ScRu3N structure.

```
ScRu3N
1.0
-0.2706 4.0440 -2.2897
-4.6451 -0.1659 0.2558
0.1406 2.2996 4.0449
Sc N Ru
1 1 3
Direct
0.0000 0.0000 0.0000
0.5000 0.5000 0.5000
0.5000 0.0000 0.0000
0.0000 0.0000 0.5000
0.0000 0.5000 0.0000
```

Uncorrected energy = -5.719 eV/atom
Energy above the most stable polymorph in this dataset = 293.7 kJ per mole of atoms
Formation energy from raw total energies = 2.778 eV/atom


5.
A plane-wave DFT calculation with GGA-PBE was carried out for a geometry-optimized Cs2BaTl16 structure.

```
Cs2BaTl16
1.0
-8.0559 -3.1229 -1.7759
1.1058 -1.0543 -8.6873
2.0671 -8.5733 0.1741
Cs Tl Ba
2 16 1
Direct
0.3439 0.3439 0.3439
0.6486 0.6486 0.6486
0.7033 0.2985 0.0019
0.0064 0.0064 0.4891
0.4891 0.0064 0.0064
0.2985 0.7033 0.0019
0.0064 0.4891 0.0064
0.1123 0.1123 0.1123
0.8413 0.3505 0.3505
0.6452 0.6452 0.1491
0.0019 0.7033 0.2985
0.7033 0.0019 0.2985
0.3505 0.8413 0.3505
0.3505 0.3505 0.8413
0.6452 0.1491 0.6452
0.0019 0.2985 0.7033
0.1491 0.6452 0.6452
0.2985 0.0019 0.7033
0.9046 0.9046 0.9046
```

Uncorrected energy = -2.259 eV/atom


6.
A plane-wave DFT calculation with GGA-PBE was carried out for a geometry-optimized La2Ho3Tm7 structure.

```
La2Ho3Tm7
1.0
3.5752 0.0000 0.0000
0.0000 5.7890 0.0000
0.0000 -2.8945 18.7383
Ho Tm La
3 7 2
Direct
0.5000 0.3529 0.7058
0.5000 0.6471 0.2942
0.5000 0.5000 0.0000
0.0000 0.2726 0.5453
0.0000 0.7274 0.4547
0.0000 0.0000 0.0000
0.5000 0.9142 0.8284
0.5000 0.0858 0.1716
0.0000 0.5711 0.1423
0.0000 0.4289 0.8577
0.0000 0.8252 0.6505
0.0000 0.1748 0.3495
```

Uncorrected energy = -4.410 eV/atom
Energy above the most stable polymorph in this dataset = 6.8 kJ per mole of atoms


- What is the formula in the third record?
  SbIrS